Entry from the Alexandria database: crystalline Rb2CeNi3F12 at its relaxed geometry (PBE with a Hubbard U).

Summary:
The total magnetization comes out at 18.29 Bohr magnetons per cell. As for the crystal system: trigonal. For the total energy, the calculation gives -4.844 eV/atom.

Lattice parameters (Å, degrees): 7.5009 7.5009 17.4113 90.00 90.00 120.00
Space group R-3m (No. 166, hexagonal axes)
Asymmetric unit:
1 Rb 0.0000 0.0000 0.1059
2 Ce 0.0000 0.0000 0.5000
3 Ni 0.0000 0.5000 0.0000
4 F 0.0126 0.5063 0.1191
5 F 0.0757 0.5379 0.3220